Record 1
The following is a DFT calculation (PBE-GGA) of CoPt3N after structural relaxation.

## Properties
energy relative to the lowest polymorph listed for this composition	1612.5	meV/atom
formation energy from raw total energies	11.4	eV per formula unit
SG	Pm-3m, No. 221
N(E_F)	16.7	states/eV/cell

Unit cell a=4.510 b=4.510 c=4.510 alpha=90.00 beta=90.00 gamma=90.00
Fractional coordinates of all 5 atoms:
Pt (0.000, 0.500, 0.000)
Pt (0.000, 0.000, 0.500)
Co (0.000, 0.000, 0.000)
N (0.500, 0.500, 0.500)
Pt (0.500, 0.000, 0.000)

Record 2
The following is a DFT calculation (PBE-GGA) of La2ErThS4 after structural relaxation.

## Properties
formation energy from raw total energies	-16.2	eV per formula unit
SG	P2/m, No. 10
N(E_F)	3.7	states/eV/cell

Unit cell a=4.027 b=7.050 c=7.034 alpha=109.12 beta=90.00 gamma=90.00
Fractional coordinates of all 8 atoms:
Er (0.000, 0.000, 0.000)
S (0.500, 0.765, 0.769)
S (0.500, 0.235, 0.231)
La (0.000, 0.500, 0.500)
La (0.500, 0.000, 0.500)
Th (0.500, 0.500, 0.000)
S (0.000, 0.245, 0.763)
S (0.000, 0.755, 0.237)

What is the formation energy from raw total energies in the first record?
11.4 eV per formula unit

Please write out number 1 again, unchanged.
The following is a DFT calculation (PBE-GGA) of CoPt3N after structural relaxation.

## Properties
energy relative to the lowest polymorph listed for this composition	1612.5	meV/atom
formation energy from raw total energies	11.4	eV per formula unit
SG	Pm-3m, No. 221
N(E_F)	16.7	states/eV/cell

Unit cell a=4.510 b=4.510 c=4.510 alpha=90.00 beta=90.00 gamma=90.00
Fractional coordinates of all 5 atoms:
Pt (0.000, 0.500, 0.000)
Pt (0.000, 0.000, 0.500)
Co (0.000, 0.000, 0.000)
N (0.500, 0.500, 0.500)
Pt (0.500, 0.000, 0.000)

What is the formula in the first record?
CoPt3N